[1]
A plane-wave DFT calculation with PBE-GGA was carried out for an optimized crystal structure of BaBeH3.

Properties
Energy relative to the lowest polymorph listed for this composition ... 0 meV per atom
Fermi-level density of states ... 3.0 states/eV/f.u.

Structure (CIF):
```
data_BaBeH3
_chemical_formula_sum 'Ba1 Be1 H3'
_cell_length_a 3.8637
_cell_length_b 3.8637
_cell_length_c 3.8637
_cell_angle_alpha 90.00
_cell_angle_beta 90.00
_cell_angle_gamma 90.00
_space_group_name_H-M_alt 'P m -3 m'
_space_group_IT_number 221
_space_group_name_Hall '-P 4 2 3'
loop_
_atom_site_label
_atom_site_fract_x
_atom_site_fract_y
_atom_site_fract_z
Ba1 0.0000 0.0000 0.0000
Be1 0.5000 0.5000 0.5000
H1 0.0000 0.5000 0.5000
```

[2]
A plane-wave DFT calculation with PBE-GGA was carried out for an optimized crystal structure of AlP2PtO.

Properties
Raw formation energy ... 412 meV per atom
Energy relative to the lowest polymorph listed for this composition ... 494 meV per atom
Fermi-level density of states ... 5.3 states/eV/f.u.

Structure (CIF):
```
data_AlP2PtO
_chemical_formula_sum 'Al1 P2 Pt1 O1'
_cell_length_a 4.8602
_cell_length_b 4.8602
_cell_length_c 3.7652
_cell_angle_alpha 90.00
_cell_angle_beta 90.00
_cell_angle_gamma 90.00
_space_group_name_H-M_alt 'P 4/m m m'
_space_group_IT_number 123
_space_group_name_Hall '-P 4 2'
loop_
_atom_site_label
_atom_site_fract_x
_atom_site_fract_y
_atom_site_fract_z
Al1 0.0000 0.0000 0.0000
P1 0.0000 0.5000 0.5000
Pt1 0.5000 0.5000 0.5000
O1 0.5000 0.5000 0.0000
```

[3]
A plane-wave DFT calculation with PBE-GGA was carried out for an optimized crystal structure of PrSnIr4.

Properties
Total DFT energy (no corrections) ... -183.5 eV per cell
Fermi-level density of states ... 10.1 states/eV/f.u.

Structure (CIF):
```
data_PrSnIr4
_chemical_formula_sum 'Pr4 Sn4 Ir16'
_cell_length_a 7.6327
_cell_length_b 7.6327
_cell_length_c 7.6327
_cell_angle_alpha 90.00
_cell_angle_beta 90.00
_cell_angle_gamma 90.00
_space_group_name_H-M_alt 'F -4 3 m'
_space_group_IT_number 216
_space_group_name_Hall 'F -4 2 3'
loop_
_atom_site_label
_atom_site_fract_x
_atom_site_fract_y
_atom_site_fract_z
Pr1 0.0000 0.0000 0.0000
Sn1 0.2500 0.2500 0.7500
Ir1 0.1243 0.1243 0.3757
```

[4]
A plane-wave DFT calculation with PBE-GGA was carried out for an optimized crystal structure of Te2PtI2.

Properties
Raw formation energy ... -82 meV per atom
Energy relative to the lowest polymorph listed for this composition ... 72 meV per atom

Structure (CIF):
```
data_Te2PtI2
_chemical_formula_sum 'Te8 Pt4 I8'
_cell_length_a 9.3150
_cell_length_b 11.4535
_cell_length_c 8.4124
_cell_angle_alpha 90.00
_cell_angle_beta 102.71
_cell_angle_gamma 90.00
_space_group_name_H-M_alt 'C 1 2/m 1'
_space_group_IT_number 12
loop_
_space_group_symop_operation_xyz
'x,y,z'
'-x,-y,-z'
'-x,y,-z'
'x,-y,z'
'x+1/2,y+1/2,z'
'-x+1/2,-y+1/2,-z'
'-x+1/2,y+1/2,-z'
'x+1/2,-y+1/2,z'
loop_
_atom_site_label
_atom_site_fract_x
_atom_site_fract_y
_atom_site_fract_z
Te1 0.0991 0.0000 0.2248
Te2 0.2141 0.0000 0.9150
Pt1 0.0000 0.1573 0.0000
I1 0.0606 0.3187 0.2406
```